First-principles (PBE+U) data for a geometry-optimized ScCo2SbO6 structure, as listed in Alexandria via LeMat-Bulk.

Results
Size of the total moment ... 6.00 μB per formula unit
VASP energy ... -68.61 eV/f.u.

a b c (Å): 5.2785 5.2785 14.1979
angles (deg): 90.00 90.00 120.00
Space group R3 (No. 146, hexagonal axes)
Unique sites:
1 Sc 0.0000 0.0000 0.0000 (multiplicity 3)
2 Co 0.0000 0.0000 0.2843 (multiplicity 3)
3 Co 0.0000 0.0000 0.7885 (multiplicity 3)
4 Sb 0.0000 0.0000 0.4937 (multiplicity 3)
5 O 0.0338 0.3460 0.5626 (multiplicity 9)
6 O 0.0419 0.6756 0.0674 (multiplicity 9)